1.
## Zr3PH (GGA-PBEsol)

Data for a relaxed structure of Zr3PH.

```
Zr3PH
1.0
4.2352 0.0000 0.0000
0.0000 4.2352 0.0000
0.0000 0.0000 4.2352
Zr H P
3 1 1
Direct
0.0000 0.5000 0.0000
0.0000 0.0000 0.5000
0.5000 0.0000 0.0000
0.0000 0.0000 0.0000
0.5000 0.5000 0.5000
```

The space-group type is No. 221. The calculated total energy comes out at -7.812 eV/atom.

***

2.
## H2Pb (GGA-PBEsol)

Data for a relaxed structure of H2Pb.

```
H2Pb
1.0
-0.1526 -1.6510 -2.8647
2.9539 -1.1159 0.9923
-4.4356 -7.6244 4.6304
H Pb
4 2
Direct
0.4353 0.9353 0.4539
0.9301 0.4301 0.6227
0.4301 0.9301 0.3773
0.9353 0.4353 0.5461
0.9405 0.4405 0.1220
0.4405 0.9405 0.8780
```

The space-group type is No. 39. The calculated total energy comes out at -3.434 eV/atom.

***

3.
## HPd3Pb (GGA-PBEsol)

Data for a relaxed structure of HPd3Pb.

```
HPd3Pb
1.0
4.0835 0.0000 0.0000
0.0000 4.0835 0.0000
0.0000 0.0000 4.0835
Pd Pb H
3 1 1
Direct
0.0000 0.5000 0.5000
0.5000 0.5000 0.0000
0.5000 0.0000 0.5000
0.0000 0.0000 0.0000
0.5000 0.5000 0.5000
```

The space-group type is No. 221. The calculated total energy comes out at -5.291 eV/atom.

***

4.
## H2PdPb2 (GGA-PBEsol)

Data for a relaxed structure of H2PdPb2.

```
H2PdPb2
1.0
-1.4840 2.9676 -0.9697
-2.7678 -0.7539 1.9287
4.8333 1.9007 4.5816
Pb H Pd
2 2 1
Direct
0.3684 0.3684 0.7368
0.6316 0.6316 0.2632
0.7500 0.2500 0.5000
0.2500 0.7500 0.5000
0.0000 0.0000 0.0000
```

The space-group type is No. 139. The calculated total energy comes out at -3.853 eV/atom.